1.
Here is a relaxed structure of Pu2BiTe from the Alexandria database. Energies are from PBE.

CIF file:
```
data_Pu2BiTe
_cell_length_a 3.745
_cell_length_b 3.745
_cell_length_c 8.018
_cell_angle_alpha 90.00
_cell_angle_beta 90.00
_cell_angle_gamma 90.00
_space_group_name_H-M_alt 'P 1'
_space_group_IT_number 1
loop_
_space_group_symop_operation_xyz
'x,y,z'
loop_
_atom_site_label
_atom_site_type_symbol
_atom_site_fract_x
_atom_site_fract_y
_atom_site_fract_z
_atom_site_occupancy
Pu1 Pu 0.000 0.000 0.262 1
Te1 Te 0.500 0.500 0.500 1
Pu2 Pu 0.000 0.000 0.738 1
Bi1 Bi 0.500 0.500 0.000 1
```

Output
* energy relative to the elements, uncorrected: -0.6608 eV per atom
* crystal system: tetragonal
* distance to the lowest polymorph of the same formula: 0.062 eV per atom

2.
Here is a relaxed structure of TlBi3Pd3 from the Alexandria database. Energies are from PBE.

CIF file:
```
data_TlBi3Pd3
_cell_length_a 7.444
_cell_length_b 7.444
_cell_length_c 7.444
_cell_angle_alpha 68.65
_cell_angle_beta 68.65
_cell_angle_gamma 68.65
_space_group_name_H-M_alt 'P 1'
_space_group_IT_number 1
loop_
_space_group_symop_operation_xyz
'x,y,z'
loop_
_atom_site_label
_atom_site_type_symbol
_atom_site_fract_x
_atom_site_fract_y
_atom_site_fract_z
_atom_site_occupancy
Pd1 Pd 0.320 0.941 0.536 1
Tl1 Tl 0.661 0.661 0.661 1
Bi1 Bi 0.166 0.641 0.891 1
Bi2 Bi 0.891 0.166 0.641 1
Pd2 Pd 0.536 0.320 0.941 1
Bi3 Bi 0.359 0.109 0.834 1
Tl2 Tl 0.339 0.339 0.339 1
Bi4 Bi 0.834 0.359 0.109 1
Pd3 Pd 0.059 0.464 0.680 1
Pd4 Pd 0.941 0.536 0.320 1
Pd5 Pd 0.464 0.680 0.059 1
Bi5 Bi 0.109 0.834 0.359 1
Pd6 Pd 0.680 0.059 0.464 1
Bi6 Bi 0.641 0.891 0.166 1
```

Output
* crystal system: trigonal
* distance to the lowest polymorph of the same formula: 0.030 eV per atom

3.
Here is a relaxed structure of PrEr3Cd2 from the Alexandria database. Energies are from PBE.

CIF file:
```
data_PrEr3Cd2
_cell_length_a 5.448
_cell_length_b 9.353
_cell_length_c 8.918
_cell_angle_alpha 125.59
_cell_angle_beta 90.00
_cell_angle_gamma 106.93
_space_group_name_H-M_alt 'P 1'
_space_group_IT_number 1
loop_
_space_group_symop_operation_xyz
'x,y,z'
loop_
_atom_site_label
_atom_site_type_symbol
_atom_site_fract_x
_atom_site_fract_y
_atom_site_fract_z
_atom_site_occupancy
Er1 Er 0.307 0.615 0.608 1
Pr1 Pr 0.135 0.271 0.088 1
Cd1 Cd 0.231 0.463 0.859 1
Er2 Er 0.617 0.234 0.692 1
Cd2 Cd 0.519 0.038 0.867 1
Er3 Er 0.938 0.876 0.598 1
Cd3 Cd 0.481 0.962 0.133 1
Er4 Er 0.693 0.385 0.392 1
Er5 Er 0.062 0.124 0.402 1
Er6 Er 0.383 0.766 0.308 1
Pr2 Pr 0.865 0.729 0.912 1
Cd4 Cd 0.769 0.537 0.141 1
```

Output
* crystal system: monoclinic
* distance to the lowest polymorph of the same formula: 0.061 eV per atom

4.
Here is a relaxed structure of Na2Sc2PaTe6 from the Alexandria database. Energies are from PBE.

CIF file:
```
data_Na2Sc2PaTe6
_cell_length_a 7.364
_cell_length_b 7.364
_cell_length_c 8.036
_cell_angle_alpha 98.67
_cell_angle_beta 98.67
_cell_angle_gamma 120.07
_space_group_name_H-M_alt 'P 1'
_space_group_IT_number 1
loop_
_space_group_symop_operation_xyz
'x,y,z'
loop_
_atom_site_label
_atom_site_type_symbol
_atom_site_fract_x
_atom_site_fract_y
_atom_site_fract_z
_atom_site_occupancy
Sc1 Sc 0.332 0.668 0.500 1
Te1 Te 0.727 0.727 0.723 1
Sc2 Sc 0.668 0.332 0.500 1
Te2 Te 0.076 0.417 0.725 1
Pa1 Pa 0.000 0.000 0.500 1
Te3 Te 0.924 0.583 0.275 1
Te4 Te 0.417 0.076 0.725 1
Te5 Te 0.583 0.924 0.275 1
Na1 Na 0.838 0.162 0.000 1
Te6 Te 0.273 0.273 0.277 1
Na2 Na 0.162 0.838 0.000 1
```

Output
* energy relative to the elements, uncorrected: -1.0799 eV per atom
* crystal system: monoclinic

5.
Here is a relaxed structure of KCuAg2Se2 from the Alexandria database. Energies are from PBE.

CIF file:
```
data_KCuAg2Se2
_cell_length_a 4.193
_cell_length_b 7.461
_cell_length_c 8.934
_cell_angle_alpha 90.00
_cell_angle_beta 90.00
_cell_angle_gamma 90.00
_space_group_name_H-M_alt 'P 1'
_space_group_IT_number 1
loop_
_space_group_symop_operation_xyz
'x,y,z'
loop_
_atom_site_label
_atom_site_type_symbol
_atom_site_fract_x
_atom_site_fract_y
_atom_site_fract_z
_atom_site_occupancy
Ag1 Ag 0.000 0.844 0.896 1
Se1 Se 0.500 0.797 0.698 1
Ag2 Ag 0.500 0.517 0.888 1
Cu1 Cu 0.500 0.594 0.191 1
K1 K 0.000 0.530 0.521 1
Ag3 Ag 0.000 0.344 0.104 1
Se2 Se 0.500 0.297 0.302 1
K2 K 0.000 0.030 0.479 1
Ag4 Ag 0.500 0.017 0.112 1
Se3 Se 0.000 0.764 0.183 1
Se4 Se 0.000 0.264 0.817 1
Cu2 Cu 0.500 0.094 0.809 1
```

Output
* energy relative to the elements, uncorrected: -0.3708 eV per atom
* crystal system: orthorhombic

6.
Here is a relaxed structure of InOs2Pb from the Alexandria database. Energies are from PBE.

CIF file:
```
data_InOs2Pb
_cell_length_a 4.731
_cell_length_b 4.731
_cell_length_c 4.731
_cell_angle_alpha 60.00
_cell_angle_beta 60.00
_cell_angle_gamma 60.00
_space_group_name_H-M_alt 'P 1'
_space_group_IT_number 1
loop_
_space_group_symop_operation_xyz
'x,y,z'
loop_
_atom_site_label
_atom_site_type_symbol
_atom_site_fract_x
_atom_site_fract_y
_atom_site_fract_z
_atom_site_occupancy
Os1 Os 0.000 0.000 0.000 1
Pb1 Pb 0.750 0.750 0.750 1
Os2 Os 0.250 0.250 0.250 1
In1 In 0.500 0.500 0.500 1
```

Output
* crystal system: cubic
* distance to the lowest polymorph of the same formula: 0.574 eV per atom